PmNd4Er7: relaxed, PBE.

a = 6.8786 Å, b = 8.7238 Å, c = 9.0081 Å
α = 85.45°, β = 96.42°, γ = 48.36°
Last column: nearest neighbours and their distance in Å.
Fractional coordinates of all 12 atoms:
Er (0.7355, 0.5133, 0.9537)  5 Er 3.34-3.58, 4 Nd 3.39-3.72, 1 Pm 3.50
Er (0.2900, 0.8134, 0.6200)  5 Er 3.30-3.65, 4 Nd 3.35-3.57
Er (0.0287, 0.6809, 0.3522)  5 Er 3.34-3.69, 4 Nd 3.46-3.55
Er (0.7100, 0.1866, 0.3800)  5 Er 3.30-3.65, 4 Nd 3.35-3.57
Er (0.2645, 0.4867, 0.0463)  5 Er 3.34-3.58, 4 Nd 3.39-3.72, 1 Pm 3.50
Er (0.9713, 0.3191, 0.6478)  5 Er 3.34-3.69, 4 Nd 3.46-3.55
Er (0.5000, 0.0000, 0.0000)  2 Pm 3.44, 4 Nd 3.45-3.69, 4 Er 3.48-3.69
Nd (0.2198, 0.1687, 0.3123)  8 Er 3.45-3.79, 2 Nd 3.52-3.56
Nd (0.5603, 0.6396, 0.2906)  8 Er 3.35-3.72, 1 Pm 3.45, 2 Nd 3.52-3.56
Nd (0.4397, 0.3604, 0.7094)  8 Er 3.35-3.72, 1 Pm 3.45, 2 Nd 3.52-3.56
Nd (0.7802, 0.8313, 0.6877)  8 Er 3.45-3.79, 2 Nd 3.52-3.56
Pm (0.0000, 0.0000, 0.0000)  4 Er 3.44-3.50, 2 Nd 3.45

## Properties
The value obtained for the formation energy is 0.09 eV per atom. The calculation puts the relative energy among the computed polymorphs at 0.0 meV/atom. The calculation puts the volume at 392.8 Å³/cell.

CrOs2Pt: relaxed, PBE.

a = 4.3580 Å, b = 4.3580 Å, c = 4.3580 Å
α = 60.00°, β = 60.00°, γ = 60.00°
Last column: nearest neighbours and their distance in Å.
Fractional coordinates of all 4 atoms:
Os (0.2500, 0.2500, 0.2500)  4 Os 2.67, 4 Cr 2.67
Os (0.0000, 0.0000, 0.0000)  4 Pt 2.67, 4 Os 2.67
Cr (0.5000, 0.5000, 0.5000)  4 Os 2.67, 4 Pt 2.67
Pt (0.7500, 0.7500, 0.7500)  4 Cr 2.67, 4 Os 2.67

## Properties
The value obtained for the formation energy is 0.49 eV per atom. The calculation puts the volume at 58.5 Å³/cell.

BeS: relaxed, PBE.

a = 8.3098 Å, b = 8.3098 Å, c = 3.4820 Å
α = 90.00°, β = 90.00°, γ = 120.00°
Last column: nearest neighbours and their distance in Å.
Fractional coordinates of all 12 atoms:
Be (0.6472, 0.0657, 0.2500)  4 S 2.09-2.15
Be (0.5815, 0.6472, 0.7500)  4 S 2.09-2.15
Be (0.9343, 0.5815, 0.2500)  4 S 2.09-2.15
Be (0.0657, 0.4185, 0.7500)  4 S 2.09-2.15
Be (0.3528, 0.9343, 0.7500)  4 S 2.09-2.15
Be (0.4185, 0.3528, 0.2500)  4 S 2.09-2.15
S (0.3096, 0.4044, 0.7500)  4 Be 2.09-2.15
S (0.0948, 0.6904, 0.7500)  4 Be 2.09-2.15
S (0.5956, 0.9052, 0.7500)  4 Be 2.09-2.15
S (0.4044, 0.0948, 0.2500)  4 Be 2.09-2.15
S (0.6904, 0.5956, 0.2500)  4 Be 2.09-2.15
S (0.9052, 0.3096, 0.2500)  4 Be 2.09-2.15

## Properties
The value obtained for the energy relative to the elements, uncorrected is -0.96 eV per atom. The calculation puts the relative energy among the computed polymorphs at 103.3 meV/atom. The calculation puts the volume at 208.2 Å³/cell.

Nd4Ag2Hg3: relaxed, PBE.

a = 5.2517 Å, b = 5.2514 Å, c = 10.0032 Å
α = 90.02°, β = 90.03°, γ = 59.99°
Last column: nearest neighbours and their distance in Å.
Fractional coordinates of all 9 atoms:
Hg (0.3334, 0.3333, 0.4685)  3 Hg 3.10, 1 Ag 3.28, 3 Nd 3.31
Hg (0.0000, 0.0000, 0.0000)  8 Nd 3.24-3.36
Hg (0.6666, 0.6667, 0.5315)  3 Hg 3.10, 1 Ag 3.28, 3 Nd 3.31
Nd (0.3335, 0.3332, 0.1136)  4 Ag 3.16-3.17, 3 Hg 3.24
Nd (0.6665, 0.6668, 0.8864)  4 Ag 3.16-3.17, 3 Hg 3.24
Nd (0.9998, 0.0002, 0.6641)  1 Nd 3.28, 3 Ag 3.31, 7 Hg 3.31-3.61
Nd (0.0002, 0.9998, 0.3359)  1 Nd 3.28, 3 Ag 3.31, 7 Hg 3.31-3.61
Ag (0.6671, 0.6665, 0.2036)  7 Nd 3.16-3.31, 1 Hg 3.28
Ag (0.3329, 0.3335, 0.7964)  7 Nd 3.16-3.31, 1 Hg 3.28

## Properties
The value obtained for the formation energy is -0.32 eV per atom. The calculation puts the volume at 238.9 Å³/cell.

Rb6NaBr8: relaxed, PBE.

a = 7.1028 Å, b = 10.0873 Å, c = 10.0872 Å
α = 120.00°, β = 90.00°, γ = 90.00°
Last column: nearest neighbours and their distance in Å.
Fractional coordinates of all 15 atoms:
Br (0.2966, 0.9997, 0.7233)  1 Na 3.14, 2 Rb 3.42
Br (0.0008, 0.6667, 0.3333)  6 Rb 3.55
Br (0.2966, 0.2767, 0.2764)  1 Na 3.14, 2 Rb 3.42
Br (0.9992, 0.3333, 0.6667)  6 Rb 3.55
Br (0.7034, 0.2764, 0.9997)  1 Na 3.14, 2 Rb 3.42
Br (0.7034, 0.7233, 0.7236)  1 Na 3.14, 2 Rb 3.42
Br (0.2966, 0.7236, 0.0003)  1 Na 3.14, 2 Rb 3.42
Br (0.7034, 0.0003, 0.2767)  1 Na 3.14, 2 Rb 3.42
Rb (0.2215, 0.3719, 0.9996)  7 Br 3.42-3.80
Rb (0.7785, 0.3723, 0.3719)  7 Br 3.42-3.80
Rb (0.7785, 0.6281, 0.0004)  7 Br 3.42-3.80
Rb (0.2215, 0.0004, 0.3723)  7 Br 3.42-3.80
Rb (0.2215, 0.6277, 0.6281)  7 Br 3.42-3.80
Rb (0.7785, 0.9996, 0.6277)  7 Br 3.42-3.80
Na (0.5000, 0.0000, 0.0000)  6 Br 3.14

## Properties
The value obtained for the energy relative to the elements, uncorrected is -1.52 eV per atom. The calculation puts the volume at 625.9 Å³/cell.

NaErMg2: relaxed, PBE.

a = 3.3831 Å, b = 3.3831 Å, c = 9.7770 Å
α = 90.00°, β = 90.00°, γ = 90.00°
Last column: nearest neighbours and their distance in Å.
Fractional coordinates of all 4 atoms:
Mg (0.0000, 0.0000, 0.2622)  4 Er 3.34, 4 Mg 3.38, 4 Na 3.51
Mg (0.0000, 0.0000, 0.7378)  4 Er 3.34, 4 Mg 3.38, 4 Na 3.51
Na (0.5000, 0.5000, 0.0000)  4 Na 3.38, 8 Mg 3.51
Er (0.5000, 0.5000, 0.5000)  8 Mg 3.34, 4 Er 3.38

## Properties
The value obtained for the formation energy is 0.05 eV per atom. The calculation puts the relative energy among the computed polymorphs at 0.0 meV/atom. The calculation puts the volume at 111.9 Å³/cell.

Fe2AgCl: relaxed, PBE.

a = 4.4414 Å, b = 4.4414 Å, c = 4.4414 Å
α = 60.00°, β = 60.00°, γ = 60.00°
Last column: nearest neighbours and their distance in Å.
Fractional coordinates of all 4 atoms:
Fe (0.2500, 0.2500, 0.2500)  4 Cl 2.72, 4 Ag 2.72
Fe (0.7500, 0.7500, 0.7500)  4 Cl 2.72, 4 Ag 2.72
Cl (0.0000, 0.0000, 0.0000)  8 Fe 2.72
Ag (0.5000, 0.5000, 0.5000)  8 Fe 2.72

## Properties
The value obtained for the energy relative to the elements, uncorrected is 0.72 eV per atom. The calculation puts the relative energy among the computed polymorphs at 564.7 meV/atom. The calculation puts the volume at 62.0 Å³/cell.

Tc3PdF: relaxed, PBE.

a = 4.9957 Å, b = 4.9957 Å, c = 4.9957 Å
α = 90.00°, β = 90.00°, γ = 90.00°
Last column: nearest neighbours and their distance in Å.
Fractional coordinates of all 5 atoms:
Tc (0.0000, 0.5000, 0.0000)  2 Pd 2.50
Tc (0.0000, 0.0000, 0.5000)  2 Pd 2.50
Tc (0.5000, 0.0000, 0.0000)  2 Pd 2.50
Pd (0.0000, 0.0000, 0.0000)  6 Tc 2.50
F (0.5000, 0.5000, 0.5000)  12 Tc 3.53

## Properties
The value obtained for the energy relative to the elements, uncorrected is 1.99 eV per atom. The calculation puts the relative energy among the computed polymorphs at 1183.0 meV/atom. The calculation puts the volume at 124.7 Å³/cell.

LaRe2As: relaxed, PBE.

a = 6.0362 Å, b = 6.0362 Å, c = 2.8919 Å
α = 76.67°, β = 76.67°, γ = 123.81°
Last column: nearest neighbours and their distance in Å.
Fractional coordinates of all 4 atoms:
Re (0.5000, 0.5000, 0.0000)  6 Re 2.84-2.90, 2 La 3.03, 2 As 3.03
Re (0.0000, 0.0000, 0.0000)  6 Re 2.84-2.90, 2 As 3.03, 2 La 3.03
La (0.0000, 0.5000, 0.5000)  4 As 2.84-2.90, 2 La 2.89, 4 Re 3.03
As (0.5000, 0.0000, 0.5000)  4 La 2.84-2.90, 2 As 2.89, 4 Re 3.03

## Properties
The value obtained for the formation energy is 0.56 eV per atom. The calculation puts the volume at 76.3 Å³/cell.

Sc2BeBi: relaxed, PBE.

a = 9.4262 Å, b = 9.4262 Å, c = 9.4262 Å
α = 21.39°, β = 21.39°, γ = 21.39°
Last column: nearest neighbours and their distance in Å.
Fractional coordinates of all 4 atoms:
Sc (0.1082, 0.1082, 0.1082)  3 Be 2.59
Sc (0.8918, 0.8918, 0.8918)  3 Be 2.59
Be (0.5000, 0.5000, 0.5000)  6 Sc 2.59
Bi (0.0000, 0.0000, 0.0000)  2 Sc 2.99

## Properties
The value obtained for the formation energy is 0.19 eV per atom. The calculation puts the relative energy among the computed polymorphs at 217.3 meV/atom. The calculation puts the volume at 97.6 Å³/cell.

Pr2Ga5Os: relaxed, PBE.

a = 6.3142 Å, b = 6.3142 Å, c = 6.3142 Å
α = 87.57°, β = 121.41°, γ = 121.41°
Last column: nearest neighbours and their distance in Å.
Fractional coordinates of all 8 atoms:
Pr (0.5000, 0.2442, 0.7442)  10 Ga 3.10-3.20
Pr (0.5000, 0.7442, 0.2442)  10 Ga 3.10-3.20
Ga (0.5709, 0.2759, 0.2759)  1 Os 2.50, 3 Ga 2.65-2.75
Ga (0.0000, 0.2759, 0.7050)  1 Os 2.50, 3 Ga 2.65-2.75
Ga (0.4291, 0.7050, 0.7050)  1 Os 2.50, 3 Ga 2.65-2.75
Ga (0.0000, 0.2704, 0.2704)  1 Os 2.45, 4 Ga 2.75
Ga (0.0000, 0.7050, 0.2759)  1 Os 2.50, 3 Ga 2.65-2.75
Os (0.0000, 0.0014, 0.0014)  5 Ga 2.45-2.50

## Properties
The value obtained for the formation energy is -0.38 eV per atom. The calculation puts the volume at 174.0 Å³/cell.

MgCdGe2S6: relaxed, PBE.

a = 6.6003 Å, b = 8.5200 Å, c = 8.5200 Å
α = 84.98°, β = 76.52°, γ = 76.52°
Last column: nearest neighbours and their distance in Å.
Fractional coordinates of all 20 atoms:
Ge (0.7389, 0.6206, 0.7866)  4 S 2.22-2.27
Ge (0.2611, 0.3794, 0.2134)  4 S 2.22-2.27
Ge (0.2389, 0.7866, 0.6206)  4 S 2.22-2.27
Ge (0.7611, 0.2134, 0.3794)  4 S 2.22-2.27
Mg (0.7500, 0.1099, 0.8901)  6 S 2.53-2.75
Mg (0.2500, 0.8901, 0.1099)  6 S 2.53-2.75
S (0.1237, 0.6187, 0.1094)  1 Ge 2.23
S (0.8619, 0.0363, 0.1840)  1 Ge 2.22
S (0.9707, 0.6908, 0.5646)  2 Ge 2.27
S (0.8763, 0.3813, 0.8906)  1 Ge 2.23
S (0.3763, 0.8906, 0.3813)  1 Ge 2.23
S (0.1381, 0.9637, 0.8160)  1 Ge 2.22
S (0.6237, 0.1094, 0.6187)  1 Ge 2.23
S (0.0293, 0.3092, 0.4354)  2 Ge 2.27
S (0.3619, 0.1840, 0.0363)  1 Ge 2.22
S (0.4707, 0.5646, 0.6908)  2 Ge 2.27
S (0.6381, 0.8160, 0.9637)  1 Ge 2.22
S (0.5293, 0.4354, 0.3092)  2 Ge 2.27
Cd (0.2500, 0.2604, 0.7396)  4 S 2.52-2.78
Cd (0.7500, 0.7396, 0.2604)  4 S 2.52-2.78

## Properties
The value obtained for the energy relative to the elements, uncorrected is -0.54 eV per atom. The calculation puts the volume at 452.8 Å³/cell.